{
  "formula": "Tb2AlZn2",
  "functional": "PBE",
  "state": "relaxed",
  "lattice_angstrom": [[-6.812, -0.214, -1.379], [1.395, -1.045, -6.731], [0.001, -8.954, 1.390]],
  "species": ["Tb", "Tb", "Tb", "Tb", "Tb", "Tb", "Tb", "Tb", "Al", "Al", "Al", "Al", "Zn", "Zn", "Zn", "Zn", "Zn", "Zn", "Zn", "Zn"],
  "fractional_positions": [[0.675, 0.825, 0.500], [0.325, 0.175, 0.500], [0.825, 0.325, 0.000], [0.175, 0.675, 0.000], [0.825, 0.325, 0.500], [0.175, 0.675, 0.500], [0.325, 0.175, 0.000], [0.675, 0.825, 0.000], [0.500, 0.500, 0.250], [0.000, 0.000, 0.750], [0.500, 0.500, 0.750], [0.000, 0.000, 0.250], [0.371, 0.871, 0.250], [0.629, 0.129, 0.250], [0.129, 0.371, 0.750], [0.871, 0.629, 0.750], [0.871, 0.629, 0.250], [0.129, 0.371, 0.250], [0.371, 0.871, 0.750], [0.629, 0.129, 0.750]],
  "density_kg_m3": 7212,
  "dft_energy_ev_per_cell": -69.7,
  "formation_enthalpy_0k_ev_per_fu": -1.86
}

{
  "formula": "Tb5AlZn2",
  "functional": "PBE",
  "state": "relaxed",
  "lattice_angstrom": [[7.337, 0.000, -3.463], [-1.635, 7.152, -3.463], [-0.475, -0.596, 8.497]],
  "species": ["Tb", "Tb", "Tb", "Tb", "Tb", "Tb", "Tb", "Tb", "Tb", "Tb", "Al", "Al", "Zn", "Zn", "Zn", "Zn"],
  "fractional_positions": [[0.507, 0.695, 0.703], [0.805, 0.993, 0.297], [0.000, 0.000, 0.000], [0.500, 0.500, 0.000], [0.195, 0.007, 0.703], [0.695, 0.195, 0.703], [0.007, 0.507, 0.703], [0.305, 0.805, 0.297], [0.993, 0.493, 0.297], [0.493, 0.305, 0.297], [0.750, 0.750, 0.500], [0.250, 0.250, 0.500], [0.136, 0.364, 0.000], [0.636, 0.136, 0.000], [0.364, 0.864, 0.000], [0.864, 0.636, 0.000]],
  "density_kg_m3": 7610,
  "dft_energy_ev_per_cell": -62.7,
  "formation_enthalpy_0k_ev_per_fu": -1.91
}

{
  "formula": "Tb2Al5Zn12",
  "functional": "PBE",
  "state": "relaxed",
  "lattice_angstrom": [[-0.389, 1.575, -6.675], [-6.842, -0.272, -0.547], [-1.189, 6.721, 0.774]],
  "species": ["Tb", "Tb", "Al", "Al", "Al", "Al", "Al", "Zn", "Zn", "Zn", "Zn", "Zn", "Zn", "Zn", "Zn", "Zn", "Zn", "Zn", "Zn"],
  "fractional_positions": [[0.668, 0.668, 0.668], [0.332, 0.332, 0.332], [0.000, 0.000, 0.500], [0.000, 0.500, 0.000], [0.500, 0.000, 0.000], [0.901, 0.901, 0.901], [0.099, 0.099, 0.099], [0.303, 0.697, 0.000], [0.697, 0.000, 0.303], [0.000, 0.303, 0.697], [0.697, 0.303, 0.000], [0.303, 0.000, 0.697], [0.000, 0.697, 0.303], [0.354, 0.354, 0.836], [0.354, 0.836, 0.354], [0.836, 0.354, 0.354], [0.646, 0.164, 0.646], [0.646, 0.646, 0.164], [0.164, 0.646, 0.646]],
  "density_kg_m3": 6480,
  "dft_energy_ev_per_cell": -46.9,
  "formation_enthalpy_0k_ev_per_fu": -3.63
}

{
  "formula": "TbAl2Zn",
  "functional": "PBE",
  "state": "relaxed",
  "lattice_angstrom": [[-3.183, 2.075, 1.970], [-2.521, -0.663, -3.374], [-1.330, -3.670, 1.715]],
  "species": ["Zn", "Tb", "Al", "Al"],
  "fractional_positions": [[0.500, 0.000, 0.000], [0.500, 0.500, 0.500], [0.000, 0.000, 0.500], [0.000, 0.500, 0.000]],
  "density_kg_m3": 5940,
  "dft_energy_ev_per_cell": -14.8,
  "formation_enthalpy_0k_ev_per_fu": -1.45
}

{
  "formula": "Tb2AlZn3",
  "functional": "PBE",
  "state": "relaxed",
  "lattice_angstrom": [[3.666, 0.000, -0.976], [-0.316, 4.172, -1.186], [0.247, 0.111, 8.301]],
  "species": ["Tb", "Tb", "Al", "Zn", "Zn", "Zn"],
  "fractional_positions": [[0.127, 0.127, 0.255], [0.873, 0.373, 0.747], [0.461, 0.961, 0.922], [0.700, 0.700, 0.401], [0.540, 0.540, 0.080], [0.298, 0.798, 0.596]],
  "density_kg_m3": 6992,
  "dft_energy_ev_per_cell": -18.9,
  "formation_enthalpy_0k_ev_per_fu": -2.07,
  "de_polymorph_ev_per_atom": 0.068
}

{
  "formula": "Tb3AlZn",
  "functional": "PBE",
  "state": "relaxed",
  "lattice_angstrom": [[-0.821, -4.965, 0.722], [4.761, -1.002, -1.471], [2.668, -1.627, 9.744]],
  "species": ["Tb", "Tb", "Tb", "Tb", "Tb", "Tb", "Al", "Al", "Zn", "Zn"],
  "fractional_positions": [[0.755, 0.250, 0.138], [0.392, 0.250, 0.865], [0.574, 0.250, 0.500], [0.257, 0.750, 0.135], [0.893, 0.750, 0.862], [0.074, 0.750, 0.500], [0.484, 0.750, 0.681], [0.164, 0.250, 0.319], [0.664, 0.750, 0.320], [0.984, 0.250, 0.680]],
  "density_kg_m3": 7380,
  "dft_energy_ev_per_cell": -40.6,
  "formation_enthalpy_0k_ev_per_fu": -1.41,
  "de_polymorph_ev_per_atom": 0.000
}

{
  "formula": "Tb3Al4Zn2",
  "functional": "PBE",
  "state": "relaxed",
  "lattice_angstrom": [[4.503, 0.000, 0.000], [-2.251, 5.299, -0.385], [0.000, -2.738, 8.148]],
  "species": ["Tb", "Tb", "Tb", "Al", "Al", "Al", "Al", "Zn", "Zn"],
  "fractional_positions": [[0.668, 0.336, 0.664], [0.000, 0.000, 0.000], [0.332, 0.664, 0.336], [0.727, 0.454, 0.064], [0.273, 0.546, 0.936], [0.950, 0.901, 0.619], [0.050, 0.099, 0.381], [0.610, 0.219, 0.278], [0.390, 0.781, 0.722]],
  "density_kg_m3": 6265,
  "dft_energy_ev_per_cell": -35.7,
  "formation_enthalpy_0k_ev_per_fu": -4.25
}

{
  "formula": "Tb3AlZn",
  "functional": "PBE",
  "state": "relaxed",
  "lattice_angstrom": [[-2.131, -2.659, 3.492], [6.930, -3.872, 1.282], [-1.669, 6.716, 4.095]],
  "species": ["Tb", "Tb", "Tb", "Tb", "Tb", "Tb", "Al", "Al", "Zn", "Zn"],
  "fractional_positions": [[0.250, 0.807, 0.193], [0.750, 0.193, 0.807], [0.250, 0.807, 0.614], [0.750, 0.193, 0.386], [0.250, 0.386, 0.193], [0.750, 0.614, 0.807], [0.250, 0.333, 0.667], [0.750, 0.667, 0.333], [0.000, 0.000, 0.000], [0.500, 0.000, 0.000]],
  "density_kg_m3": 6917,
  "dft_energy_ev_per_cell": -38.8,
  "formation_enthalpy_0k_ev_per_fu": -0.51,
  "de_polymorph_ev_per_atom": 0.180
}

{
  "formula": "Tb3Al7Zn4",
  "functional": "PBE",
  "state": "relaxed",
  "lattice_angstrom": [[-3.732, 1.945, -0.381], [-5.175, -5.839, -2.557], [-4.351, -2.450, 6.686]],
  "species": ["Tb", "Tb", "Tb", "Al", "Al", "Al", "Al", "Al", "Al", "Al", "Zn", "Zn", "Zn", "Zn"],
  "fractional_positions": [[0.316, 0.179, 0.188], [0.684, 0.821, 0.812], [0.000, 0.500, 0.500], [0.331, 0.810, 0.528], [0.494, 0.221, 0.792], [0.844, 0.389, 0.923], [0.669, 0.190, 0.472], [0.156, 0.611, 0.077], [0.000, 0.000, 0.000], [0.506, 0.779, 0.208], [0.659, 0.455, 0.228], [0.341, 0.545, 0.772], [0.870, 0.908, 0.353], [0.130, 0.092, 0.647]],
  "density_kg_m3": 5857,
  "dft_energy_ev_per_cell": -50.9,
  "formation_enthalpy_0k_ev_per_fu": -5.67
}

{
  "formula": "Tb3Al8Zn3",
  "functional": "PBE",
  "state": "relaxed",
  "lattice_angstrom": [[-3.342, -0.652, -2.605], [-3.223, -7.224, 2.415], [-6.645, 2.008, 4.495]],
  "species": ["Tb", "Tb", "Tb", "Al", "Al", "Al", "Al", "Al", "Al", "Al", "Al", "Zn", "Zn", "Zn"],
  "fractional_positions": [[0.500, 0.500, 0.500], [0.815, 0.185, 0.185], [0.185, 0.815, 0.815], [0.633, 0.087, 0.647], [0.367, 0.913, 0.353], [0.633, 0.647, 0.087], [0.367, 0.353, 0.913], [0.839, 0.790, 0.532], [0.161, 0.210, 0.468], [0.839, 0.532, 0.790], [0.161, 0.468, 0.210], [0.500, 0.000, 0.000], [0.000, 0.791, 0.209], [0.000, 0.209, 0.791]],
  "density_kg_m3": 5515,
  "dft_energy_ev_per_cell": -52.8,
  "formation_enthalpy_0k_ev_per_fu": -5.16
}

{
  "formula": "Tb2Al2Zn",
  "functional": "PBE",
  "state": "relaxed",
  "lattice_angstrom": [[-2.689, -3.290, 1.491], [2.589, -5.192, 0.013], [1.246, 0.246, 9.595]],
  "species": ["Tb", "Tb", "Tb", "Tb", "Al", "Al", "Al", "Al", "Zn", "Zn"],
  "fractional_positions": [[0.685, 0.295, 0.334], [0.912, 0.270, 0.906], [0.315, 0.705, 0.666], [0.088, 0.730, 0.094], [0.075, 0.284, 0.567], [0.635, 0.851, 0.879], [0.925, 0.716, 0.433], [0.365, 0.149, 0.121], [0.618, 0.110, 0.655], [0.382, 0.890, 0.345]],
  "density_kg_m3": 6417,
  "dft_energy_ev_per_cell": -40.3,
  "formation_enthalpy_0k_ev_per_fu": -2.15
}

{
  "formula": "TbAl2Zn3",
  "functional": "PBE",
  "state": "relaxed",
  "lattice_angstrom": [[4.372, 0.000, 0.000], [-2.186, 3.786, 0.000], [0.000, 0.000, 6.601]],
  "species": ["Tb", "Al", "Al", "Zn", "Zn", "Zn"],
  "fractional_positions": [[0.000, 0.000, 0.000], [0.667, 0.333, 0.292], [0.333, 0.667, 0.708], [0.000, 0.000, 0.500], [0.667, 0.333, 0.737], [0.333, 0.667, 0.263]],
  "density_kg_m3": 6218,
  "dft_energy_ev_per_cell": -17.4,
  "formation_enthalpy_0k_ev_per_fu": -1.46
}

{
  "formula": "TbAl2Zn6",
  "functional": "PBE",
  "state": "relaxed",
  "lattice_angstrom": [[-1.261, -3.462, -0.097], [4.822, -1.614, -5.050], [2.276, 0.937, 6.958]],
  "species": ["Tb", "Al", "Al", "Zn", "Zn", "Zn", "Zn", "Zn", "Zn"],
  "fractional_positions": [[0.000, 0.500, 0.000], [0.876, 0.876, 0.752], [0.124, 0.124, 0.248], [0.684, 0.866, 0.369], [0.316, 0.134, 0.631], [0.316, 0.498, 0.631], [0.500, 0.172, 0.000], [0.500, 0.828, 0.000], [0.684, 0.502, 0.369]],
  "density_kg_m3": 6154,
  "dft_energy_ev_per_cell": -20.4,
  "formation_enthalpy_0k_ev_per_fu": -0.67,
  "de_polymorph_ev_per_atom": 0.000
}

{
  "formula": "TbZrAl2",
  "functional": "PBE",
  "state": "relaxed",
  "lattice_angstrom": [[4.091, 0.000, 0.000], [0.000, 4.567, 0.000], [0.000, 0.000, 4.567]],
  "species": ["Tb", "Al", "Al", "Zr"],
  "fractional_positions": [[0.500, 0.500, 0.500], [0.000, 0.000, 0.500], [0.000, 0.500, 0.000], [0.500, 0.000, 0.000]],
  "density_kg_m3": 5917,
  "dft_energy_ev_per_cell": -21.9,
  "formation_enthalpy_0k_ev_per_fu": -1.28,
  "de_polymorph_ev_per_atom": 0.035
}

{
  "formula": "TbZr3Al8",
  "functional": "PBE",
  "state": "relaxed",
  "lattice_angstrom": [[5.381, 0.000, 0.000], [2.691, 4.660, 0.000], [2.691, 1.553, 8.808]],
  "species": ["Tb", "Zr", "Zr", "Zr", "Al", "Al", "Al", "Al", "Al", "Al", "Al", "Al"],
  "fractional_positions": [[0.875, 0.875, 0.375], [0.376, 0.376, 0.873], [0.001, 0.001, 0.997], [0.498, 0.498, 0.507], [0.940, 0.439, 0.182], [0.434, 0.937, 0.692], [0.439, 0.439, 0.182], [0.937, 0.937, 0.692], [0.187, 0.187, 0.439], [0.688, 0.688, 0.937], [0.439, 0.940, 0.182], [0.937, 0.434, 0.692]],
  "density_kg_m3": 4875,
  "dft_energy_ev_per_cell": -66.4,
  "formation_enthalpy_0k_ev_per_fu": -6.22,
  "de_polymorph_ev_per_atom": 0.000
}

{
  "formula": "TbZrAl2",
  "functional": "PBE",
  "state": "relaxed",
  "lattice_angstrom": [[-1.936, -0.606, -4.514], [0.493, -4.331, -2.343], [-3.935, -2.934, -0.631]],
  "species": ["Tb", "Al", "Al", "Zr"],
  "fractional_positions": [[0.000, 0.000, 0.000], [0.250, 0.250, 0.250], [0.750, 0.750, 0.750], [0.500, 0.500, 0.500]],
  "density_kg_m3": 5893,
  "dft_energy_ev_per_cell": -21.8,
  "formation_enthalpy_0k_ev_per_fu": -1.17,
  "de_polymorph_ev_per_atom": 0.062
}

{
  "formula": "TbZrAl2",
  "functional": "PBE",
  "state": "relaxed",
  "lattice_angstrom": [[-0.427, 3.508, 0.805], [-1.536, -0.911, 3.155], [5.884, 0.055, 2.880]],
  "species": ["Tb", "Al", "Al", "Zr"],
  "fractional_positions": [[0.500, 0.500, 0.500], [0.000, 0.000, 0.784], [0.000, 0.000, 0.216], [0.500, 0.500, 0.000]],
  "density_kg_m3": 5866,
  "dft_energy_ev_per_cell": -22.1,
  "formation_enthalpy_0k_ev_per_fu": -1.42,
  "de_polymorph_ev_per_atom": 0.000
}

{
  "formula": "TbZr3Al8",
  "functional": "PBE",
  "state": "relaxed",
  "lattice_angstrom": [[-0.414, -0.090, -5.334], [-2.362, -3.803, 2.931], [-7.381, 4.962, 0.490]],
  "species": ["Tb", "Zr", "Zr", "Zr", "Al", "Al", "Al", "Al", "Al", "Al", "Al", "Al"],
  "fractional_positions": [[0.000, 0.000, 0.565], [0.667, 0.333, 0.427], [0.667, 0.333, 0.066], [0.000, 0.000, 0.936], [0.333, 0.667, 0.499], [0.333, 0.667, 0.002], [0.504, 0.008, 0.756], [0.504, 0.496, 0.756], [0.992, 0.496, 0.756], [0.163, 0.326, 0.246], [0.163, 0.837, 0.246], [0.674, 0.837, 0.246]],
  "density_kg_m3": 4875,
  "dft_energy_ev_per_cell": -66.4,
  "formation_enthalpy_0k_ev_per_fu": -6.19,
  "de_polymorph_ev_per_atom": 0.003
}

{
  "formula": "TbZrAl2",
  "functional": "PBE",
  "state": "relaxed",
  "lattice_angstrom": [[-2.189, 1.682, -2.052], [-1.835, -1.727, -2.341], [-7.896, -1.208, 4.551]],
  "species": ["Tb", "Al", "Al", "Zr"],
  "fractional_positions": [[0.500, 0.500, 0.500], [0.745, 0.745, 0.764], [0.255, 0.255, 0.236], [0.000, 0.000, 0.000]],
  "density_kg_m3": 5490,
  "dft_energy_ev_per_cell": -21.2,
  "formation_enthalpy_0k_ev_per_fu": -0.49,
  "de_polymorph_ev_per_atom": 0.232
}

{
  "formula": "TbZr5Al3",
  "functional": "PBE",
  "state": "relaxed",
  "lattice_angstrom": [[-1.891, -5.718, -0.165], [8.143, -2.680, -0.486], [-3.736, 1.014, 7.665]],
  "species": ["Tb", "Tb", "Zr", "Zr", "Zr", "Zr", "Zr", "Zr", "Zr", "Zr", "Zr", "Zr", "Al", "Al", "Al", "Al", "Al", "Al"],
  "fractional_positions": [[0.000, 0.000, 0.000], [0.500, 0.000, 0.000], [0.000, 0.667, 0.333], [0.500, 0.333, 0.667], [0.000, 0.333, 0.667], [0.500, 0.667, 0.333], [0.750, 0.664, 0.664], [0.750, 0.000, 0.336], [0.750, 0.336, 0.000], [0.250, 0.336, 0.336], [0.250, 0.000, 0.664], [0.250, 0.664, 0.000], [0.750, 0.339, 0.339], [0.750, 0.000, 0.661], [0.750, 0.661, 0.000], [0.250, 0.661, 0.661], [0.250, 0.000, 0.339], [0.250, 0.339, 0.000]],
  "density_kg_m3": 6008,
  "dft_energy_ev_per_cell": -122.7,
  "formation_enthalpy_0k_ev_per_fu": -2.76
}

{
  "formula": "TbZrAl4",
  "functional": "PBE",
  "state": "relaxed",
  "lattice_angstrom": [[5.447, 0.000, 0.000], [2.724, 4.718, 0.000], [2.724, 1.573, 4.448]],
  "species": ["Tb", "Al", "Al", "Al", "Al", "Zr"],
  "fractional_positions": [[0.250, 0.250, 0.250], [0.625, 0.625, 0.124], [0.625, 0.124, 0.625], [0.625, 0.625, 0.625], [0.124, 0.625, 0.625], [0.000, 0.000, 0.000]],
  "density_kg_m3": 5202,
  "dft_energy_ev_per_cell": -31.2,
  "formation_enthalpy_0k_ev_per_fu": -3.05
}

{
  "formula": "Al5Tc",
  "functional": "PBE",
  "state": "relaxed",
  "lattice_angstrom": [[-3.774, 1.799, 5.001], [2.279, -5.208, -3.188], [2.821, -0.088, 2.161]],
  "species": ["Al", "Al", "Al", "Al", "Al", "Tc"],
  "fractional_positions": [[0.336, 0.664, 0.500], [0.161, 0.839, 0.000], [0.000, 0.000, 0.500], [0.839, 0.161, 0.000], [0.664, 0.336, 0.500], [0.500, 0.500, 0.000]],
  "density_kg_m3": 4252,
  "dft_energy_ev_per_cell": -29.9,
  "formation_enthalpy_0k_ev_per_fu": -0.86,
  "de_polymorph_ev_per_atom": 0.147
}